Here is crystalline NdDy3N at its relaxed geometry from the Alexandria database. Energies are from PBE.

Values from the calculation:
As for the space-group type: Pm-3m (221). The total energy is -29.38 eV/f.u. The formation energy (no corrections) comes out at -11.439 kcal/mol of atoms.

```
NdDy3N
1.0
4.985 0.000 0.000
0.000 4.985 0.000
0.000 0.000 4.985
Nd Dy N
1 3 1
direct
0.000 0.000 0.000 Nd
0.000 0.500 0.500 Dy
0.500 0.000 0.500 Dy
0.500 0.500 0.000 Dy
0.500 0.500 0.500 N
```

Here is crystalline BePtOF2 at its relaxed geometry from the Alexandria database. Energies are from PBE.

Values from the calculation:
As for the space-group type: P4/mmm (123). Its energy above the most stable polymorph in this dataset is 0 meV/atom. The total energy is -25.25 eV/f.u. The formation energy (no corrections) comes out at -31.290 kcal/mol of atoms.

```
BePtOF2
1.0
3.131 0.000 0.000
0.000 3.131 0.000
0.000 0.000 6.415
Be Pt O F
1 1 1 2
direct
0.000 0.000 0.000 Be
0.500 0.500 0.500 Pt
0.000 0.000 0.500 O
0.000 0.500 0.000 F
0.500 0.000 0.000 F
```

Here is crystalline Ti2NiBPd at its relaxed geometry from the Alexandria database. Energies are from PBE.

Values from the calculation:
The value obtained for the energy of formation from the pure elements is 23.2 kcal/mol of atoms. As for the space-group type: P4/mmm (123). The total energy is -28.42 eV/f.u.

```
Ti2NiBPd
1.0
4.350 0.000 0.000
0.000 4.350 0.000
0.000 0.000 4.526
Ti Ni B Pd
2 1 1 1
direct
0.000 0.500 0.000 Ti
0.500 0.000 0.000 Ti
0.000 0.000 0.000 Ni
0.500 0.500 0.500 B
0.000 0.000 0.500 Pd
```

Here is crystalline TmGaPdRu at its relaxed geometry from the Alexandria database. Energies are from PBE.

Values from the calculation:
The value obtained for the energy of formation from the pure elements is -14.2 kcal/mol of atoms. As for the space-group type: F-43m (216). Its energy above the most stable polymorph in this dataset is 31 meV/atom. The total energy is -24.43 eV/f.u.

```
TmGaPdRu
1.0
0.000 3.225 3.225
3.225 0.000 3.225
3.225 3.225 0.000
Tm Ga Pd Ru
1 1 1 1
direct
0.000 0.000 0.000 Tm
0.500 0.500 0.500 Ga
0.750 0.750 0.750 Pd
0.250 0.250 0.250 Ru
```

Here is crystalline Pr7MgAl4 at its relaxed geometry from the Alexandria database. Energies are from PBE.

Values from the calculation:
The value obtained for the energy of formation from the pure elements is -1.9 kcal/mol of atoms. As for the space-group type: C2/m (12). The total energy is -51.00 eV/f.u.

```
Pr7MgAl4
1.0
7.044 -2.897 0.000
7.044 2.897 0.000
-5.897 0.000 8.765
Pr Mg Al
7 1 4
direct
0.000 0.000 0.000 Pr
0.214 0.214 0.661 Pr
0.298 0.298 0.111 Pr
0.432 0.432 0.617 Pr
0.568 0.568 0.383 Pr
0.702 0.702 0.889 Pr
0.786 0.786 0.339 Pr
0.500 0.500 0.000 Mg
0.048 0.048 0.753 Al
0.176 0.176 0.333 Al
0.824 0.824 0.667 Al
0.952 0.952 0.247 Al
```

Here is crystalline La2MgZn at its relaxed geometry from the Alexandria database. Energies are from PBE.

Values from the calculation:
The value obtained for the energy of formation from the pure elements is 1.8 kcal/mol of atoms. As for the space-group type: F-43m (216). Its energy above the most stable polymorph in this dataset is 296 meV/atom. The total energy is -12.40 eV/f.u.

```
La2MgZn
1.0
0.000 3.773 3.773
3.773 0.000 3.773
3.773 3.773 0.000
La Mg Zn
2 1 1
direct
0.000 0.000 0.000 La
0.250 0.250 0.250 La
0.500 0.500 0.500 Mg
0.750 0.750 0.750 Zn
```

Here is crystalline MnP3W at its relaxed geometry from the Alexandria database. Energies are from PBE.

Values from the calculation:
The value obtained for the energy of formation from the pure elements is 28.7 kcal/mol of atoms. As for the space-group type: Pm-3m (221). Its energy above the most stable polymorph in this dataset is 220 meV/atom. The total energy is -32.12 eV/f.u.

```
MnP3W
1.0
4.665 0.000 0.000
0.000 4.665 0.000
0.000 0.000 4.665
Mn P W
1 3 1
direct
0.000 0.000 0.000 Mn
0.000 0.500 0.500 P
0.500 0.000 0.500 P
0.500 0.500 0.000 P
0.500 0.500 0.500 W
```

Here is crystalline CsHg3F6 at its relaxed geometry from the Alexandria database. Energies are from PBE.

Values from the calculation:
As for the space-group type: P1 (1). The total energy is -28.94 eV/f.u. The formation energy (no corrections) comes out at -36.789 kcal/mol of atoms.

```
CsHg3F6
1.0
6.359 0.000 0.000
3.177 5.510 0.000
3.170 1.829 5.598
Cs Hg F
1 3 6
direct
0.000 0.000 0.000 Cs
0.236 0.236 0.292 Hg
0.536 0.537 0.390 Hg
0.748 0.748 0.754 Hg
0.129 0.849 0.529 F
0.458 0.525 0.063 F
0.493 0.129 0.529 F
0.526 0.954 0.062 F
0.847 0.493 0.530 F
0.955 0.458 0.062 F
```

Here is crystalline InSi2Te at its relaxed geometry from the Alexandria database. Energies are from PBE.

Values from the calculation:
As for the space-group type: P4/mmm (123). Its energy above the most stable polymorph in this dataset is 309 meV/atom. The total energy is -14.77 eV/f.u. The formation energy (no corrections) comes out at 11.253 kcal/mol of atoms.

```
InSi2Te
1.0
3.846 0.000 0.000
0.000 3.846 0.000
0.000 0.000 6.703
In Si Te
1 2 1
direct
0.000 0.000 0.000 In
0.500 0.500 0.319 Si
0.500 0.500 0.681 Si
0.000 0.000 0.500 Te
```

Here is crystalline Dy2YSnN4 at its relaxed geometry from the Alexandria database. Energies are from PBE.

Values from the calculation:
As for the space-group type: P2/m (10). The total energy is -61.58 eV/f.u. The formation energy (no corrections) comes out at -24.799 kcal/mol of atoms.

```
Dy2YSnN4
1.0
6.011 0.000 0.000
0.000 3.473 0.000
-2.021 0.000 5.661
Dy Y Sn N
2 1 1 4
direct
0.000 0.000 0.000 Dy
0.000 0.500 0.500 Dy
0.500 0.000 0.500 Y
0.500 0.500 0.000 Sn
0.243 0.000 0.744 N
0.245 0.500 0.254 N
0.755 0.500 0.746 N
0.757 0.000 0.256 N
```

Here is crystalline SmTh2Pd4 at its relaxed geometry from the Alexandria database. Energies are from PBE.

Values from the calculation:
The value obtained for the energy of formation from the pure elements is -10.4 kcal/mol of atoms. As for the space-group type: C2/m (12). The total energy is -43.49 eV/f.u.

```
SmTh2Pd4
1.0
4.570 -2.861 0.000
4.570 2.861 0.000
-3.739 0.000 6.857
Sm Th Pd
1 2 4
direct
0.000 0.000 0.000 Sm
0.280 0.280 0.676 Th
0.720 0.720 0.324 Th
0.000 0.500 0.000 Pd
0.341 0.341 0.353 Pd
0.500 0.000 0.000 Pd
0.659 0.659 0.647 Pd
```

Here is crystalline Ca2Au3 at its relaxed geometry from the Alexandria database. Energies are from PBE.

Values from the calculation:
The value obtained for the energy of formation from the pure elements is -17.0 kcal/mol of atoms. As for the space-group type: Cmcm (63). Its energy above the most stable polymorph in this dataset is 23 meV/atom. The total energy is -17.53 eV/f.u.

```
Ca2Au3
1.0
1.916 -14.380 0.000
1.916 14.380 0.000
0.000 0.000 4.475
Ca Au
4 6
direct
0.072 0.928 0.750 Ca
0.207 0.793 0.250 Ca
0.793 0.207 0.750 Ca
0.928 0.072 0.250 Ca
0.316 0.684 0.250 Au
0.378 0.622 0.750 Au
0.473 0.527 0.750 Au
0.527 0.473 0.250 Au
0.622 0.378 0.250 Au
0.684 0.316 0.750 Au
```

Here is crystalline HgAs2RuF at its relaxed geometry from the Alexandria database. Energies are from PBE.

Values from the calculation:
As for the space-group type: P4/mmm (123). The total energy is -16.26 eV/f.u. The formation energy (no corrections) comes out at 20.679 kcal/mol of atoms.

```
HgAs2RuF
1.0
5.151 0.000 0.000
0.000 5.151 0.000
0.000 0.000 4.289
Hg As Ru F
1 2 1 1
direct
0.000 0.000 0.000 Hg
0.000 0.500 0.000 As
0.500 0.000 0.000 As
0.500 0.500 0.500 Ru
0.000 0.000 0.500 F
```

| no. | mass density (g cm⁻³) | V (Å³/atom) | size of the total moment (Bohr magnetons per cell) |
| --- | --- | --- | --- |
| 1 | 8.65 | 24.8 | 0.49 |
| 2 | 6.81 | 12.6 | 0.48 |
| 3 | 5.27 | 17.1 | 0.00 |
| 4 | 11.04 | 16.8 | 0.00 |
| 5 | 5.19 | 29.8 | 0.00 |
| 6 | 5.68 | 26.9 | 1.50 |
| 7 | 5.43 | 20.3 | 0.25 |
| 8 | 7.18 | 19.6 | 0.00 |
| 9 | 5.00 | 24.8 | 0.00 |
| 10 | 8.27 | 14.8 | 0.00 |
| 11 | 9.63 | 25.6 | 0.00 |
| 12 | 9.04 | 24.7 | 0.00 |
| 13 | 6.87 | 22.8 | 2.30 |